A plane-wave DFT calculation with GGA-PBE was carried out for Pr2UAs2N2 after structural relaxation.

* E: -7.95 eV per atom
* space group: I4/mmm
* ρ: 7.91 Mg/m³
* formation energy from raw total energies: -1.260 eV/atom

Cell lengths 4.295, 4.295, 8.504 Å; angles 104.63, 104.63, 90.00 degrees
Last column: magnetic moment on the atom in μB.
Element x y z (fractional)
Pr (0.367, 0.367, 0.734)  0.00
Pr (0.633, 0.633, 0.266)  0.00
As (0.823, 0.823, 0.647)  0.00
As (0.177, 0.177, 0.353)  0.00
U (0.000, 0.000, 0.000)  0.12
N (0.500, 0.000, 0.000)  -0.01
N (0.000, 0.500, 0.000)  -0.01